Entry 1:
First-principles (PBE-GGA) data for an optimized crystal structure of Sm2DyHg, as listed in Alexandria.

Calculated total energy, eV/cell: -44.7
Relative energy among the computed polymorphs, meV/atom: 84

Cell and atoms, written as CIF:
```
data_Sm2DyHg
_symmetry_space_group_name_H-M 'R -3 m'
_symmetry_Int_Tables_number 166
_symmetry_space_group_name_Hall '-R 3 2"'
_cell_length_a 3.6490
_cell_length_b 3.6490
_cell_length_c 32.2921
_cell_angle_alpha 90.00
_cell_angle_beta 90.00
_cell_angle_gamma 120.00
loop_
_atom_site_label
_atom_site_fract_x
_atom_site_fract_y
_atom_site_fract_z
Sm1 0.0000 0.0000 0.2437
Dy1 0.0000 0.0000 0.0000
Hg1 0.0000 0.0000 0.5000
```


Entry 2:
First-principles (PBE-GGA) data for an optimized crystal structure of Sm5Dy2Hg4, as listed in Alexandria.

Calculated total energy, eV/cell: -72.4

Cell and atoms, written as CIF:
```
data_Sm5Dy2Hg4
_symmetry_space_group_name_H-M 'C 1 2/m 1'
_symmetry_Int_Tables_number 12
_cell_length_a 21.7327
_cell_length_b 3.7314
_cell_length_c 8.5461
_cell_angle_alpha 90.00
_cell_angle_beta 102.35
_cell_angle_gamma 90.00
loop_
_symmetry_equiv_pos_as_xyz
'x,y,z'
'-x,-y,-z'
'-x,y,-z'
'x,-y,z'
'x+1/2,y+1/2,z'
'-x+1/2,-y+1/2,-z'
'-x+1/2,y+1/2,-z'
'x+1/2,-y+1/2,z'
loop_
_atom_site_label
_atom_site_fract_x
_atom_site_fract_y
_atom_site_fract_z
Sm1 0.0000 0.0000 0.0000
Sm2 0.1531 0.5000 0.9852
Sm3 0.1762 0.5000 0.4411
Dy1 0.0715 0.0000 0.6445
Hg1 0.0365 0.5000 0.2976
Hg2 0.2159 0.0000 0.7552
```


Entry 3:
First-principles (PBE-GGA) data for an optimized crystal structure of Sm2DyHg3, as listed in Alexandria.

Calculated total energy, eV/cell: -17.8
Relative energy among the computed polymorphs, meV/atom: 0

Cell and atoms, written as CIF:
```
data_Sm2DyHg3
_symmetry_space_group_name_H-M 'P 4/m m m'
_symmetry_Int_Tables_number 123
_symmetry_space_group_name_Hall '-P 4 2'
_cell_length_a 3.7677
_cell_length_b 3.7677
_cell_length_c 11.3412
_cell_angle_alpha 90.00
_cell_angle_beta 90.00
_cell_angle_gamma 90.00
loop_
_atom_site_label
_atom_site_fract_x
_atom_site_fract_y
_atom_site_fract_z
Sm1 0.0000 0.0000 0.1689
Dy1 0.0000 0.0000 0.5000
Hg1 0.5000 0.5000 0.0000
Hg2 0.5000 0.5000 0.3415
```


Entry 4:
First-principles (PBE-GGA) data for an optimized crystal structure of SmDy2Hg, as listed in Alexandria.

Calculated total energy, eV/cell: -15.1
Relative energy among the computed polymorphs, meV/atom: 0

Cell and atoms, written as CIF:
```
data_SmDy2Hg
_symmetry_space_group_name_H-M 'P 4/m m m'
_symmetry_Int_Tables_number 123
_symmetry_space_group_name_Hall '-P 4 2'
_cell_length_a 3.6301
_cell_length_b 3.6301
_cell_length_c 8.8982
_cell_angle_alpha 90.00
_cell_angle_beta 90.00
_cell_angle_gamma 90.00
loop_
_atom_site_label
_atom_site_fract_x
_atom_site_fract_y
_atom_site_fract_z
Sm1 0.0000 0.0000 0.0000
Dy1 0.5000 0.5000 0.2805
Hg1 0.0000 0.0000 0.5000
```


Entry 5:
First-principles (PBE-GGA) data for an optimized crystal structure of Sm3DyHg7, as listed in Alexandria.

Calculated total energy, eV/cell: -97.3

Cell and atoms, written as CIF:
```
data_Sm3DyHg7
_symmetry_space_group_name_H-M 'C m c m'
_symmetry_Int_Tables_number 63
_symmetry_space_group_name_Hall '-C 2c 2'
_cell_length_a 3.5529
_cell_length_b 21.3997
_cell_length_c 15.7031
_cell_angle_alpha 90.00
_cell_angle_beta 90.00
_cell_angle_gamma 90.00
loop_
_atom_site_label
_atom_site_fract_x
_atom_site_fract_y
_atom_site_fract_z
Sm1 0.0000 0.1167 0.0154
Sm2 0.0000 0.2361 0.7500
Dy1 0.0000 0.0153 0.7500
Hg1 0.0000 0.2535 0.0798
Hg2 0.0000 0.3776 0.1572
Hg3 0.0000 0.3852 0.7500
Hg4 0.0000 0.4937 0.5912
```


Entry 6:
First-principles (PBE-GGA) data for an optimized crystal structure of SmDy2Hg5, as listed in Alexandria.

Calculated total energy, eV/cell: -37.8

Cell and atoms, written as CIF:
```
data_SmDy2Hg5
_symmetry_space_group_name_H-M 'I 4/m m m'
_symmetry_Int_Tables_number 139
_symmetry_space_group_name_Hall '-I 4 2'
_cell_length_a 5.2319
_cell_length_b 5.2319
_cell_length_c 14.6842
_cell_angle_alpha 90.00
_cell_angle_beta 90.00
_cell_angle_gamma 90.00
loop_
_atom_site_label
_atom_site_fract_x
_atom_site_fract_y
_atom_site_fract_z
Sm1 0.0000 0.0000 0.0000
Dy1 0.0000 0.0000 0.2662
Hg1 0.0000 0.0000 0.5000
Hg2 0.0000 0.5000 0.1267
```


Entry 7:
First-principles (PBE-GGA) data for an optimized crystal structure of SmDy6Hg, as listed in Alexandria.

Calculated total energy, eV/cell: -98.1

Cell and atoms, written as CIF:
```
data_SmDy6Hg
_symmetry_space_group_name_H-M 'R -3'
_symmetry_Int_Tables_number 148
_symmetry_space_group_name_Hall '-R 3'
_cell_length_a 9.2851
_cell_length_b 9.2851
_cell_length_c 9.9476
_cell_angle_alpha 90.00
_cell_angle_beta 90.00
_cell_angle_gamma 120.00
loop_
_atom_site_label
_atom_site_fract_x
_atom_site_fract_y
_atom_site_fract_z
Sm1 0.0000 0.0000 0.0000
Dy1 0.0270 0.7729 0.7128
Hg1 0.0000 0.0000 0.5000
```


Entry 8:
First-principles (PBE-GGA) data for an optimized crystal structure of SmDy4Hg, as listed in Alexandria.

Calculated total energy, eV/cell: -94.9
Relative energy among the computed polymorphs, meV/atom: 94

Cell and atoms, written as CIF:
```
data_SmDy4Hg
_symmetry_space_group_name_H-M 'C 1 2/c 1'
_symmetry_Int_Tables_number 15
_cell_length_a 8.7531
_cell_length_b 13.9367
_cell_length_c 6.3590
_cell_angle_alpha 90.00
_cell_angle_beta 109.05
_cell_angle_gamma 90.00
loop_
_symmetry_equiv_pos_as_xyz
'x,y,z'
'-x,-y,-z'
'-x,y,-z+1/2'
'x,-y,z+1/2'
'x+1/2,y+1/2,z'
'-x+1/2,-y+1/2,-z'
'-x+1/2,y+1/2,-z+1/2'
'x+1/2,-y+1/2,z+1/2'
loop_
_atom_site_label
_atom_site_fract_x
_atom_site_fract_y
_atom_site_fract_z
Sm1 0.0000 0.0945 0.2500
Dy1 0.0991 0.3122 0.5460
Dy2 0.2187 0.1179 0.8738
Hg1 0.0000 0.4993 0.2500
```


Entry 9:
First-principles (PBE-GGA) data for an optimized crystal structure of SmDy5Hg2, as listed in Alexandria.

Calculated total energy, eV/cell: -59.3

Cell and atoms, written as CIF:
```
data_SmDy5Hg2
_symmetry_space_group_name_H-M 'I m m m'
_symmetry_Int_Tables_number 71
_symmetry_space_group_name_Hall '-I 2 2'
_cell_length_a 3.7294
_cell_length_b 10.2145
_cell_length_c 12.3467
_cell_angle_alpha 90.00
_cell_angle_beta 90.00
_cell_angle_gamma 90.00
loop_
_atom_site_label
_atom_site_fract_x
_atom_site_fract_y
_atom_site_fract_z
Sm1 0.0000 0.0000 0.0000
Dy1 0.0000 0.2236 0.3628
Dy2 0.0000 0.5000 0.0000
Hg1 0.0000 0.5000 0.2631
```


Entry 10:
First-principles (PBE-GGA) data for an optimized crystal structure of Sm5Dy4Hg, as listed in Alexandria.

Calculated total energy, eV/cell: -43.1

Cell and atoms, written as CIF:
```
data_Sm5Dy4Hg
_symmetry_space_group_name_H-M 'P 4/m m m'
_symmetry_Int_Tables_number 123
_symmetry_space_group_name_Hall '-P 4 2'
_cell_length_a 3.6155
_cell_length_b 3.6155
_cell_length_c 24.1911
_cell_angle_alpha 90.00
_cell_angle_beta 90.00
_cell_angle_gamma 90.00
loop_
_atom_site_label
_atom_site_fract_x
_atom_site_fract_y
_atom_site_fract_z
Sm1 0.0000 0.0000 0.0000
Sm2 0.0000 0.0000 0.2073
Sm3 0.0000 0.0000 0.4148
Dy1 0.5000 0.5000 0.1036
Dy2 0.5000 0.5000 0.3107
Hg1 0.5000 0.5000 0.5000
```


Entry 11:
First-principles (PBE-GGA) data for an optimized crystal structure of Sm3Dy5Hg2, as listed in Alexandria.

Calculated total energy, eV/cell: -149.7

Cell and atoms, written as CIF:
```
data_Sm3Dy5Hg2
_symmetry_space_group_name_H-M 'I b a m'
_symmetry_Int_Tables_number 72
_symmetry_space_group_name_Hall '-I 2 2c'
_cell_length_a 13.7338
_cell_length_b 13.8709
_cell_length_c 6.7912
_cell_angle_alpha 90.00
_cell_angle_beta 90.00
_cell_angle_gamma 90.00
loop_
_atom_site_label
_atom_site_fract_x
_atom_site_fract_y
_atom_site_fract_z
Sm1 0.0000 0.0000 0.2500
Sm2 0.2230 0.1550 0.0000
Dy1 0.0000 0.2731 0.2500
Dy2 0.0000 0.5000 0.2500
Dy3 0.1836 0.4166 0.0000
Hg1 0.1195 0.1418 0.5000
```


Entry 12:
First-principles (PBE-GGA) data for an optimized crystal structure of SmDySnHg, as listed in Alexandria.

Calculated total energy, eV/cell: -63.7
Relative energy among the computed polymorphs, meV/atom: 0

Cell and atoms, written as CIF:
```
data_SmDySnHg
_symmetry_space_group_name_H-M 'F -4 3 m'
_symmetry_Int_Tables_number 216
_symmetry_space_group_name_Hall 'F -4 2 3'
_cell_length_a 7.5455
_cell_length_b 7.5455
_cell_length_c 7.5455
_cell_angle_alpha 90.00
_cell_angle_beta 90.00
_cell_angle_gamma 90.00
loop_
_atom_site_label
_atom_site_fract_x
_atom_site_fract_y
_atom_site_fract_z
Sm1 0.0000 0.0000 0.0000
Dy1 0.0000 0.0000 0.5000
Sn1 0.2500 0.2500 0.7500
Hg1 0.2500 0.2500 0.2500
```


Entry 13:
First-principles (PBE-GGA) data for an optimized crystal structure of Sm2DySn2Hg2, as listed in Alexandria.

Calculated total energy, eV/cell: -74.7

Cell and atoms, written as CIF:
```
data_Sm2DySn2Hg2
_symmetry_space_group_name_H-M 'R -3 m'
_symmetry_Int_Tables_number 166
_symmetry_space_group_name_Hall '-R 3 2"'
_cell_length_a 4.9965
_cell_length_b 4.9965
_cell_length_c 27.0958
_cell_angle_alpha 90.00
_cell_angle_beta 90.00
_cell_angle_gamma 120.00
loop_
_atom_site_label
_atom_site_fract_x
_atom_site_fract_y
_atom_site_fract_z
Sm1 0.0000 0.0000 0.1298
Dy1 0.0000 0.0000 0.0000
Sn1 0.0000 0.0000 0.2735
Hg1 0.0000 0.0000 0.4281
```


Entry 14:
First-principles (PBE-GGA) data for an optimized crystal structure of SmDySnHg, as listed in Alexandria.

Calculated total energy, eV/cell: -15.9
Relative energy among the computed polymorphs, meV/atom: 10

Cell and atoms, written as CIF:
```
data_SmDySnHg
_symmetry_space_group_name_H-M 'P 4 m m'
_symmetry_Int_Tables_number 99
_cell_length_a 3.8174
_cell_length_b 3.8174
_cell_length_c 7.4072
_cell_angle_alpha 90.00
_cell_angle_beta 90.00
_cell_angle_gamma 90.00
loop_
_symmetry_equiv_pos_as_xyz
'x,y,z'
'-y,x,z'
'-x,-y,z'
'y,-x,z'
'-x,y,z'
'y,x,z'
'x,-y,z'
'-y,-x,z'
loop_
_atom_site_label
_atom_site_fract_x
_atom_site_fract_y
_atom_site_fract_z
Sm1 0.0000 0.0000 0.0000
Dy1 0.0000 0.0000 0.5070
Sn1 0.5000 0.5000 0.2601
Hg1 0.5000 0.5000 0.7426
```


Entry 15:
First-principles (PBE-GGA) data for an optimized crystal structure of SmDy2Sn2Hg2, as listed in Alexandria.

Calculated total energy, eV/cell: -74.6

Cell and atoms, written as CIF:
```
data_SmDy2Sn2Hg2
_symmetry_space_group_name_H-M 'R -3 m'
_symmetry_Int_Tables_number 166
_symmetry_space_group_name_Hall '-R 3 2"'
_cell_length_a 4.9928
_cell_length_b 4.9928
_cell_length_c 26.7100
_cell_angle_alpha 90.00
_cell_angle_beta 90.00
_cell_angle_gamma 120.00
loop_
_atom_site_label
_atom_site_fract_x
_atom_site_fract_y
_atom_site_fract_z
Sm1 0.0000 0.0000 0.0000
Dy1 0.0000 0.0000 0.1312
Sn1 0.0000 0.0000 0.2693
Hg1 0.0000 0.0000 0.4332
```


Entry 16:
First-principles (PBE-GGA) data for an optimized crystal structure of Tb2SmDyHg4, as listed in Alexandria.

Calculated total energy, eV/cell: -70.8

Cell and atoms, written as CIF:
```
data_Tb2SmDyHg4
_symmetry_space_group_name_H-M 'R -3 m'
_symmetry_Int_Tables_number 166
_symmetry_space_group_name_Hall '-R 3 2"'
_cell_length_a 5.2981
_cell_length_b 5.2981
_cell_length_c 26.0137
_cell_angle_alpha 90.00
_cell_angle_beta 90.00
_cell_angle_gamma 120.00
loop_
_atom_site_label
_atom_site_fract_x
_atom_site_fract_y
_atom_site_fract_z
Tb1 0.0000 0.0000 0.2504
Sm1 0.0000 0.0000 0.5000
Dy1 0.0000 0.0000 0.0000
Hg1 0.0000 0.0000 0.1237
Hg2 0.0000 0.0000 0.3739
```


Entry 17:
First-principles (PBE-GGA) data for an optimized crystal structure of SmDyHgTe, as listed in Alexandria.

Calculated total energy, eV/cell: -48.8
ΔE_f (raw), meV/atom: -879.3

Cell and atoms, written as CIF:
```
data_SmDyHgTe
_symmetry_space_group_name_H-M 'R 3 m'
_symmetry_Int_Tables_number 160
_symmetry_space_group_name_Hall 'R 3 -2"'
_cell_length_a 4.2056
_cell_length_b 4.2056
_cell_length_c 23.3273
_cell_angle_alpha 90.00
_cell_angle_beta 90.00
_cell_angle_gamma 120.00
loop_
_atom_site_label
_atom_site_fract_x
_atom_site_fract_y
_atom_site_fract_z
Sm1 0.0000 0.0000 0.0000
Dy1 0.0000 0.0000 0.4999
Hg1 0.0000 0.0000 0.7519
Te1 0.0000 0.0000 0.2478
```


Entry 18:
First-principles (PBE-GGA) data for an optimized crystal structure of SmDy2ThHg4, as listed in Alexandria.

Calculated total energy, eV/cell: -77.1

Cell and atoms, written as CIF:
```
data_SmDy2ThHg4
_symmetry_space_group_name_H-M 'R -3 m'
_symmetry_Int_Tables_number 166
_symmetry_space_group_name_Hall '-R 3 2"'
_cell_length_a 5.3296
_cell_length_b 5.3296
_cell_length_c 26.1670
_cell_angle_alpha 90.00
_cell_angle_beta 90.00
_cell_angle_gamma 120.00
loop_
_atom_site_label
_atom_site_fract_x
_atom_site_fract_y
_atom_site_fract_z
Sm1 0.0000 0.0000 0.0000
Dy1 0.0000 0.0000 0.2491
Th1 0.0000 0.0000 0.5000
Hg1 0.0000 0.0000 0.1234
Hg2 0.0000 0.0000 0.3735
```


Entry 19:
First-principles (PBE-GGA) data for an optimized crystal structure of SmDyTlHg, as listed in Alexandria.

Calculated total energy, eV/cell: -54.6
Relative energy among the computed polymorphs, meV/atom: 3

Cell and atoms, written as CIF:
```
data_SmDyTlHg
_symmetry_space_group_name_H-M 'F -4 3 m'
_symmetry_Int_Tables_number 216
_symmetry_space_group_name_Hall 'F -4 2 3'
_cell_length_a 7.5956
_cell_length_b 7.5956
_cell_length_c 7.5956
_cell_angle_alpha 90.00
_cell_angle_beta 90.00
_cell_angle_gamma 90.00
loop_
_atom_site_label
_atom_site_fract_x
_atom_site_fract_y
_atom_site_fract_z
Sm1 0.0000 0.0000 0.0000
Dy1 0.0000 0.0000 0.5000
Tl1 0.2500 0.2500 0.2500
Hg1 0.2500 0.2500 0.7500
```


Entry 20:
First-principles (PBE-GGA) data for an optimized crystal structure of Sm3Dy3TlHg2, as listed in Alexandria.

Calculated total energy, eV/cell: -33.1

Cell and atoms, written as CIF:
```
data_Sm3Dy3TlHg2
_symmetry_space_group_name_H-M 'P -6 2 m'
_symmetry_Int_Tables_number 189
_symmetry_space_group_name_Hall 'P -6 -2'
_cell_length_a 8.9003
_cell_length_b 8.9003
_cell_length_c 3.8215
_cell_angle_alpha 90.00
_cell_angle_beta 90.00
_cell_angle_gamma 120.00
loop_
_atom_site_label
_atom_site_fract_x
_atom_site_fract_y
_atom_site_fract_z
Sm1 0.0000 0.7110 0.0000
Dy1 0.0000 0.3847 0.5000
Tl1 0.0000 0.0000 0.5000
Hg1 0.3333 0.6667 0.0000
```


Number 1: theoretical density 8.88 Mg/m³. Number 2: theoretical density 9.22 Mg/m³. Number 3: theoretical density 10.98 Mg/m³. Number 4: theoretical density 9.57 Mg/m³. Number 5: theoretical density 11.23 Mg/m³. Number 6: theoretical density 12.21 Mg/m³. Number 7: theoretical density 8.89 Mg/m³. Number 8: theoretical density 9.07 Mg/m³. Number 9: theoretical density 9.63 Mg/m³. Number 10: theoretical density 8.41 Mg/m³. Number 11: theoretical density 8.55 Mg/m³. Number 12: theoretical density 9.77 Mg/m³. Number 13: theoretical density 9.37 Mg/m³. Number 14: theoretical density 9.73 Mg/m³. Number 15: theoretical density 9.62 Mg/m³. Number 16: theoretical density 11.29 Mg/m³. Number 17: theoretical density 8.94 Mg/m³. Number 18: theoretical density 11.68 Mg/m³. Number 19: theoretical density 10.88 Mg/m³. Number 20: theoretical density 9.78 Mg/m³.